No. 1
The following is a DFT calculation (PBE-GGA) of a relaxed structure of CrAs.

- size of the total moment (μB per formula unit) = 0.0
- ρ (Mg/m³) = 7.394
- electronic total energy (Ha/atom) = -0.265
- ΔE_f (eV per atom) = -0.081

Lattice parameters (Å, degrees): 3.2194 3.2194 3.1754 90.00 90.00 120.00
Atoms (fractional coordinates):
Cr  0.0000  0.0000  0.0000
As  0.6667  0.3333  0.5000



No. 2
The following is a DFT calculation (PBE-GGA) of a relaxed structure of CrAs.

- size of the total moment (μB per formula unit) = 0.1
- ρ (Mg/m³) = 6.441
- electronic total energy (Ha/atom) = -0.263
- ΔE_f (eV per atom) = -0.008

Lattice parameters (Å, degrees): 5.0367 6.6683 7.7935 90.00 90.00 90.00
Atoms (fractional coordinates):
Cr  0.0061  0.1746  0.3828
Cr  0.2234  0.4968  0.3678
Cr  0.2766  0.5032  0.8678
Cr  0.4939  0.8254  0.8828
Cr  0.5061  0.3254  0.6172
Cr  0.7234  0.0032  0.6322
Cr  0.7766  0.9968  0.1322
Cr  0.9939  0.6746  0.1172
As  0.0090  0.3151  0.0894
As  0.0143  0.8610  0.8508
As  0.4857  0.1390  0.3508
As  0.4910  0.6849  0.5894
As  0.5090  0.1849  0.9106
As  0.5143  0.6390  0.1492
As  0.9857  0.3610  0.6492
As  0.9910  0.8151  0.4106



No. 3
The following is a DFT calculation (PBE-GGA) of a relaxed structure of Cr2As.

- size of the total moment (μB per formula unit) = 1.2
- ρ (Mg/m³) = 6.924
- electronic total energy (Ha/atom) = -0.294
- ΔE_f (eV per atom) = -0.035

Lattice parameters (Å, degrees): 6.4395 6.4395 3.5843 90.00 90.00 120.00
Atoms (fractional coordinates):
Cr  0.0000  0.2516  0.0000
Cr  0.0000  0.6029  0.5000
Cr  0.2516  0.0000  0.0000
Cr  0.3971  0.3971  0.5000
Cr  0.6029  0.0000  0.5000
Cr  0.7484  0.7484  0.0000
As  0.0000  0.0000  0.5000
As  0.3333  0.6667  0.0000
As  0.6667  0.3333  0.0000



No. 4
The following is a DFT calculation (PBE-GGA) of a relaxed structure of CrAs3.

- size of the total moment (μB per formula unit) = 3.1
- ρ (Mg/m³) = 6.044
- electronic total energy (Ha/atom) = -0.210
- ΔE_f (eV per atom) = 0.169

Lattice parameters (Å, degrees): 4.6224 4.6224 4.6224 109.47 109.47 109.47
Atoms (fractional coordinates):
Cr  0.0000  0.0000  0.0000
As  0.0000  0.5000  0.5000
As  0.5000  0.0000  0.5000
As  0.5000  0.5000  0.0000



No. 5
The following is a DFT calculation (PBE-GGA) of a relaxed structure of CrAs3.

- size of the total moment (μB per formula unit) = 3.7
- ρ (Mg/m³) = 6.326
- electronic total energy (Ha/atom) = -0.201
- ΔE_f (eV per atom) = 0.431

Lattice parameters (Å, degrees): 4.6837 4.6837 4.6837 60.00 60.00 60.00
Atoms (fractional coordinates):
Cr  0.0000  0.0000  0.0000
As  0.2500  0.2500  0.2500
As  0.5000  0.5000  0.5000
As  0.7500  0.7500  0.7500



No. 6
The following is a DFT calculation (PBE-GGA) of a relaxed structure of CrAs3.

- size of the total moment (μB per formula unit) = 3.0
- ρ (Mg/m³) = 4.285
- electronic total energy (Ha/atom) = -0.209
- ΔE_f (eV per atom) = 0.206

Lattice parameters (Å, degrees): 7.7387 7.7387 4.1355 90.00 90.00 120.00
Atoms (fractional coordinates):
Cr  0.3333  0.6667  0.2500
Cr  0.6667  0.3333  0.7500
As  0.2236  0.4472  0.7500
As  0.2236  0.7764  0.7500
As  0.4472  0.2236  0.2500
As  0.5528  0.7764  0.7500
As  0.7764  0.2236  0.2500
As  0.7764  0.5528  0.2500



No. 7
The following is a DFT calculation (PBE-GGA) of a relaxed structure of CrAs.

- size of the total moment (μB per formula unit) = 1.0
- ρ (Mg/m³) = 7.632
- electronic total energy (Ha/atom) = -0.265
- ΔE_f (eV per atom) = -0.078

Lattice parameters (Å, degrees): 4.7981 4.7981 4.7981 90.00 90.00 90.00
Atoms (fractional coordinates):
Cr  0.1221  0.1221  0.1221
Cr  0.3779  0.8779  0.6221
Cr  0.6221  0.3779  0.8779
Cr  0.8779  0.6221  0.3779
As  0.0874  0.5874  0.9126
As  0.4126  0.4126  0.4126
As  0.5874  0.9126  0.0874
As  0.9126  0.0874  0.5874



No. 8
The following is a DFT calculation (PBE-GGA) of a relaxed structure of CrAs3.

- size of the total moment (μB per formula unit) = 3.3
- ρ (Mg/m³) = 6.423
- electronic total energy (Ha/atom) = -0.205
- ΔE_f (eV per atom) = 0.308

Lattice parameters (Å, degrees): 4.6387 4.6387 3.4276 90.00 90.00 104.04
Atoms (fractional coordinates):
Cr  0.0000  0.0000  0.0000
As  0.0000  0.5000  0.5000
As  0.5000  0.0000  0.5000
As  0.5000  0.5000  0.0000